CePrSe2 | the Alexandria database | PBE | relaxed; ΔE_f (raw) = -7.08 eV per formula unit; energy relative to the lowest polymorph listed for this composition = 67 meV per atom; volume = 27.4 A^3/atom; calculated density = 6.7 g/cm3; total energy = -6.192 eV per atom
1.0
2.065 1.192 7.413
-2.065 1.192 7.413
0.000 -2.384 7.413
Ce Pr Se
1 1 2
Cartesian
0.000 0.000 0.000
0.000 0.000 18.326
0.000 0.000 9.122
0.000 0.000 12.908